Here is a relaxed LiPuSi2 crystal from Alexandria via LeMat-Bulk. Energies are from PBE.

As for the uncorrected formation energy: -97 kJ/mol of formula units. As for the crystal system: orthorhombic.

Unit cell a=3.7726 b=5.5310 c=5.5310 alpha=44.09 beta=90.00 gamma=90.00
Closest atoms and distances in Å follow each position.
Element x y z (fractional)
Li1 0.0000 0.0000 0.0000  7 Si 2.87-3.04
Pu1 0.5000 0.2764 0.2764  7 Si 2.89-3.05
Si1 0.0000 0.7032 0.7032  2 Si 2.40
Si2 0.5000 0.5585 0.5585  2 Si 2.40

Here is a relaxed PmSmHgRu crystal from Alexandria via LeMat-Bulk. Energies are from PBE.

Its electronic total energy is -20.15 eV per cell. As for the crystal system: cubic.

Unit cell a=5.1446 b=5.1446 c=5.1446 alpha=60.00 beta=60.00 gamma=60.00
Closest atoms and distances in Å follow each position.
Element x y z (fractional)
Pm1 0.0000 0.0000 0.0000  4 Ru 3.15, 4 Hg 3.15
Sm1 0.5000 0.5000 0.5000  4 Hg 3.15, 4 Ru 3.15
Hg1 0.7500 0.7500 0.7500  4 Sm 3.15, 4 Pm 3.15
Ru1 0.2500 0.2500 0.2500  4 Sm 3.15, 4 Pm 3.15

Here is a relaxed LuMgAu crystal from Alexandria via LeMat-Bulk. Energies are from PBE.

Its electronic total energy is -10.96 eV per cell. As for the crystal system: tetragonal.

Unit cell a=6.2013 b=6.2013 c=6.2013 alpha=147.87 beta=147.87 gamma=46.08
Closest atoms and distances in Å follow each position.
Element x y z (fractional)
Lu1 0.0000 0.0000 0.0000  4 Au 2.97, 1 Mg 3.32
Mg1 0.2913 0.2913 0.0000  4 Au 2.91
Au1 0.6502 0.6502 0.0000  4 Mg 2.91, 4 Lu 2.97

| no. | size of the total moment (μB/cell) |
| --- | --- |
| 1 | 5.577 |
| 2 | 0.000 |
| 3 | 0.000 |